7
Lattice="-3.437 -1.022 1.846 -0.695 -3.850 0.980 1.795 -0.541 7.447" Properties=species:S:1:pos:R:3 comment="YNi4Ge2, optimized geometry, DFT PBE-GGA" formation_energy_ev_per_atom=-0.48 vol_a3_per_atom=14.73 sg="No. 166" dos_ef_per_ev_cell=4.44 polymorph_energy_mev_per_atom=44.6 pbc="T T T"
Ni -0.591 -2.510 6.321
Ni -2.786 -4.413 5.588
Ni 0.448 -1.001 4.686
Ni -1.746 -2.904 3.952
Ge -0.573 -1.350 2.592
Ge -1.765 -4.065 7.682
Y 0.000 0.000 0.000